Record 1
Here is a relaxed structure of Ac2Al4Pt3Rh from the Alexandria database. Energies are from PBE.

Geometry as POSCAR:
```
Ac2Al4Pt3Rh
1.0
4.393 0.000 0.000
0.000 4.393 0.000
0.000 0.000 10.525
Al Rh Ac Pt
4 1 2 3
Cartesian
2.197 2.197 0.000
0.000 0.000 0.000
2.197 0.000 6.519
0.000 2.197 4.006
2.197 2.197 5.263
0.000 2.197 7.872
2.197 0.000 2.653
0.000 0.000 5.263
2.197 0.000 9.143
0.000 2.197 1.382
```

Results
energy of formation: -1.0525 eV per atom

Record 2
Here is a relaxed structure of Dy2CdCu9 from the Alexandria database. Energies are from PBE.

Geometry as POSCAR:
```
Dy2CdCu9
1.0
5.107 0.000 0.000
2.553 4.423 0.000
2.553 1.474 8.235
Cu Dy Cd
9 2 1
Cartesian
2.553 1.474 0.013
3.822 3.690 6.210
6.392 3.690 6.210
3.822 2.207 2.025
5.107 2.948 4.118
6.392 2.207 2.025
5.107 1.465 6.210
5.107 4.432 2.025
7.660 4.423 8.222
7.660 4.423 3.360
2.553 1.474 4.876
0.000 0.000 0.000
```

Results
energy of formation: -0.1089 eV per atom

Record 3
Here is a relaxed structure of KAc2Ce3Te6 from the Alexandria database. Energies are from PBE.

Geometry as POSCAR:
```
KAc2Ce3Te6
1.0
-1.176 3.803 -2.263
-7.728 -4.317 -3.239
-2.339 2.407 9.892
Ce Ac Te K
3 2 6 1
Cartesian
-7.378 -2.157 0.209
-4.452 -0.257 -2.751
-3.865 4.050 4.182
-7.656 1.897 2.533
-3.587 -0.004 1.857
-5.538 5.059 6.746
-5.139 1.141 4.586
-6.105 0.752 -0.196
-5.705 -3.166 -2.356
-9.067 -1.154 2.771
-2.176 3.047 1.619
-0.588 1.902 -1.132
```

Results
final energy: -62.64 eV per cell

Record 4
Here is a relaxed structure of TaSi2 from the Alexandria database. Energies are from PBE.

Geometry as POSCAR:
```
TaSi2
1.0
-1.645 1.645 9.115
1.645 -1.645 9.115
1.645 1.645 -9.115
Si Ta
4 2
Cartesian
1.645 0.000 3.225
1.645 0.000 5.890
0.000 0.000 7.783
0.000 0.000 10.447
0.000 0.000 0.000
0.000 1.645 4.558
```

Results
final energy: -44.20 eV per cell

Record 5
Here is a relaxed structure of Tm3CuTc from the Alexandria database. Energies are from PBE.

Geometry as POSCAR:
```
Tm3CuTc
1.0
4.687 0.000 1.071
0.000 4.814 0.000
0.210 0.000 9.871
Cu Tm Tc
2 6 2
Cartesian
4.763 1.204 7.739
3.174 3.611 3.897
3.538 1.204 2.306
4.399 3.611 9.330
2.044 1.204 8.842
2.794 1.204 5.563
1.205 3.611 1.723
0.456 3.611 5.002
2.399 3.611 7.288
0.850 1.204 3.277
```

Results
energy of formation: -0.1483 eV per atom

Record 6
Here is a relaxed structure of Mg4NiI2 from the Alexandria database. Energies are from PBE.

Geometry as POSCAR:
```
Mg4NiI2
1.0
-1.860 -3.054 -3.232
2.524 -3.609 1.958
-6.244 -5.016 4.738
Mg I Ni
4 2 1
Cartesian
-4.333 -4.526 3.176
1.262 -1.805 0.979
-0.930 -1.527 -1.616
-1.246 -7.153 0.288
-2.139 -3.965 1.382
-3.441 -7.715 2.081
0.000 0.000 0.000
```

Results
final energy: -16.83 eV per cell

Record 7
Here is a relaxed structure of K5CdP2 from the Alexandria database. Energies are from PBE.

Geometry as POSCAR:
```
K5CdP2
1.0
-3.323 -0.806 -4.743
4.463 -3.617 1.091
-11.809 -11.487 10.224
K Cd P
10 2 4
Cartesian
-7.503 -7.298 6.496
-1.598 -1.555 1.384
-6.989 -11.295 6.815
-4.306 -4.189 3.728
-9.371 -13.612 8.877
-4.607 -8.978 4.752
-3.680 -4.614 -0.242
-1.298 -2.297 -2.305
-10.210 -9.932 8.840
-6.062 -6.932 1.820
-1.084 -5.552 1.703
-9.584 -10.358 4.870
-8.066 -8.881 3.555
-11.102 -11.835 6.184
-2.602 -7.028 3.017
0.434 -4.075 0.388
```

Results
energy of formation: -0.2233 eV per atom

Record 8
Here is a relaxed structure of CeYTh4 from the Alexandria database. Energies are from PBE.

Geometry as POSCAR:
```
CeYTh4
1.0
5.011 0.000 0.000
-2.506 5.311 -1.778
0.000 -0.035 7.112
Y Th Ce
1 4 1
Cartesian
1.253 2.655 -0.889
3.758 0.834 4.439
-1.253 4.382 4.443
3.758 0.894 0.891
-1.253 4.442 0.894
1.253 2.638 2.667
```

Results
energy of formation: 0.0531 eV per atom